{"formula": "TlRe3", "functional": "GGA-PBE", "state": "optimized geometry", "e_tot_ry_per_atom": -0.65684, "space_group": "P6_3/mmc", "mass_density_g_cm3": 19.1, "delta_e_f_mev_per_atom": 991, "vol_a3_per_cell": 264.8, "relative_energy_mev_per_atom": 463, "dos_ef_per_ev_atom": 1.58, "lattice": [[5.767, 0.000, 0.000], [-2.884, 4.994, 0.000], [0.000, 0.000, 9.193]], "species": ["Re", "Re", "Re", "Re", "Re", "Tl", "Re", "Tl", "Re", "Re", "Re", "Tl", "Re", "Re", "Re", "Tl"], "fractional_positions": [[0.353, 0.176, 0.250], [0.824, 0.176, 0.250], [0.500, 0.500, 0.500], [0.500, 0.000, 0.500], [0.824, 0.647, 0.250], [0.000, 0.000, 0.000], [0.176, 0.824, 0.750], [0.000, 0.000, 0.500], [0.000, 0.500, 0.500], [0.500, 0.000, 0.000], [0.647, 0.824, 0.750], [0.333, 0.667, 0.250], [0.500, 0.500, 0.000], [0.176, 0.353, 0.750], [0.000, 0.500, 0.000], [0.667, 0.333, 0.750]]}